Material: HoCuRh2
Method: DFT, PBE
State: relaxed

Output
Total moment = 0.0 μB/cell
Polymorph energy (0 for the lowest one) = 49 meV per atom
Energy of formation = -0.43 eV per atom
Volume = 16.25 Å³/atom

Geometry as CIF:
```
data_HoCuRh2
_space_group_name_H-M_alt 'F m -3 m'
_space_group_IT_number 225
_space_group_name_Hall '-F 4 2 3'
_cell_length_a 6.383
_cell_length_b 6.383
_cell_length_c 6.383
_cell_angle_alpha 90.00
_cell_angle_beta 90.00
_cell_angle_gamma 90.00
loop_
_atom_site_label
_atom_site_type_symbol
_atom_site_fract_x
_atom_site_fract_y
_atom_site_fract_z
Ho1 Ho 0.000 0.000 0.000
Cu1 Cu 0.000 0.000 0.500
Rh1 Rh 0.250 0.250 0.250
```